A geometry-optimized BeAs3 structure. Source: Alexandria via LeMat-Bulk, functional PBE-GGA.

a = 4.637 Å, b = 4.637 Å, c = 4.637 Å
α = 122.10°, β = 122.10°, γ = 86.40°
Element x y z (fractional)
1 Be 0.000 0.000 0.000
2 As 0.250 0.750 0.500
3 As 0.500 0.500 0.000
4 As 0.750 0.250 0.500

Output
**Symmetry**: No. 139

---

A geometry-optimized Be3As structure. Source: Alexandria via LeMat-Bulk, functional PBE-GGA.

a = 5.374 Å, b = 5.374 Å, c = 7.260 Å
α = 90.00°, β = 90.00°, γ = 120.00°
Element x y z (fractional)
1 Be 0.000 0.500 0.000
2 Be 0.000 0.500 0.500
3 Be 0.196 0.391 0.250
4 Be 0.196 0.804 0.250
5 Be 0.391 0.196 0.750
6 Be 0.500 0.000 0.000
7 Be 0.500 0.000 0.500
8 Be 0.500 0.500 0.000
9 Be 0.500 0.500 0.500
10 Be 0.609 0.804 0.250
11 Be 0.804 0.196 0.750
12 Be 0.804 0.609 0.750
13 As 0.000 0.000 0.000
14 As 0.000 0.000 0.500
15 As 0.333 0.667 0.750
16 As 0.667 0.333 0.250

Output
**Symmetry**: No. 194

---

A geometry-optimized BeAs structure. Source: Alexandria via LeMat-Bulk, functional PBE-GGA.

a = 3.725 Å, b = 3.725 Å, c = 4.715 Å
α = 90.00°, β = 90.00°, γ = 120.00°
Element x y z (fractional)
1 Be 0.000 0.000 0.000
2 Be 0.000 0.000 0.500
3 As 0.333 0.667 0.250
4 As 0.667 0.333 0.750

Output
**Symmetry**: No. 194

---

A geometry-optimized BeAs structure. Source: Alexandria via LeMat-Bulk, functional PBE-GGA.

a = 2.942 Å, b = 2.942 Å, c = 3.245 Å
α = 90.00°, β = 90.00°, γ = 90.00°
Element x y z (fractional)
1 Be 0.000 0.000 0.000
2 As 0.500 0.500 0.500

Output
**Symmetry**: No. 123

---

| no. | volume (Å³ per atom) | energy of formation from the pure elements (eV/atom) | DOS at the Fermi energy (states/eV/cell) |
| --- | --- | --- | --- |
| 1 | 17.0 | 0.59 | 1.43 |
| 2 | 11.4 | 0.42 | 4.76 |
| 3 | 14.2 | 0.09 | 0.95 |
| 4 | 14.0 | 0.55 | 0.73 |